Entry 1:
{
  "formula": "ScCu2Cl",
  "functional": "meta-GGA SCAN",
  "state": "single point on PBEsol structure",
  "space_group": "No. 12",
  "n_ef_per_ev_fu": 1.63,
  "lattice": [[3.312, 0.005, 0.000], [-0.038, 3.675, 0.000], [-1.637, -1.840, 5.187]],
  "species": ["Cu", "Cu", "Sc", "Cl"],
  "frac_coords": [[0.000, 0.000, 0.500], [0.500, 0.500, 0.500], [0.500, 0.000, 0.000], [0.000, 0.500, 0.000]]
}

=====

Entry 2:
{
  "formula": "ScCuCl2",
  "functional": "meta-GGA SCAN",
  "state": "single point on PBEsol structure",
  "space_group": "No. 6",
  "lattice": [[-2.983, -1.219, -0.667], [0.941, -0.495, -3.303], [1.904, -6.440, 3.257]],
  "species": ["Sc", "Cu", "Cl", "Cl"],
  "frac_coords": [[0.500, 0.036, 0.696], [0.000, 0.446, 0.504], [0.500, 0.861, 0.352], [0.000, 0.157, 0.947]]
}

=====

Entry 3:
{
  "formula": "Cu2SeCl",
  "functional": "meta-GGA SCAN",
  "state": "single point on PBEsol structure",
  "space_group": "No. 122",
  "n_ef_per_ev_fu": 3.27,
  "lattice": [[5.377, 0.000, 0.000], [0.000, 5.377, 0.000], [-2.688, -2.688, 5.375]],
  "species": ["Se", "Se", "Cu", "Cu", "Cu", "Cu", "Cl", "Cl"],
  "frac_coords": [[0.250, 0.750, 0.500], [0.000, 0.000, 0.000], [0.369, 0.875, 0.250], [0.625, 0.631, 0.750], [0.125, 0.119, 0.750], [0.881, 0.375, 0.250], [0.750, 0.250, 0.500], [0.500, 0.500, 0.000]]
}

=====

Sequential calculated volume output: 15.78 20.77 19.42 Å³ per atom
Sequential E_form (uncorrected) output: -0.32 -1.17 -0.31 eV/atom
Sequential E above lowest polymorph output: 0.0 0.0 0.0 meV/atom